1.
The following is a GGA-PBE calculation of a relaxed Hf2NbHPd crystal, from Alexandria.

Output
E above lowest polymorph = 0.060 eV per atom
Space group = P4/mmm
Density of states at the Fermi level = 4.52 states/eV/cell

abc: 4.6433 4.6433 3.6238
angles: 90.00 90.00 90.00
With the nearest neighbours (Å) after each atom.
Atoms (fractional coordinates):
Hf  0.0000  0.5000  0.0000  2 H 2.32
Pd  0.0000  0.0000  0.5000  2 H 1.81
Hf  0.5000  0.0000  0.0000  2 H 2.32
Nb  0.5000  0.5000  0.5000  8 Hf 2.95, 4 Pd 3.28
H  0.0000  0.0000  0.0000  2 Pd 1.81


2.
The following is a GGA-PBE calculation of a relaxed K2ScCu crystal, from Alexandria.

Output
E above lowest polymorph = 0.102 eV per atom
Space group = Cm
Formation energy from the elements = 8.22 kcal/mol of atoms
Density of states at the Fermi level = 4.02 states/eV/cell

abc: 4.8579 4.8579 10.0900
angles: 77.32 77.32 44.66
With the nearest neighbours (Å) after each atom.
Atoms (fractional coordinates):
K  0.9120  0.9120  0.0822  2 Cu 3.46, 2 K 3.69, 1 Sc 3.76
Cu  0.2676  0.2676  0.3751  3 Sc 2.61-2.65
K  0.7576  0.7576  0.6678  2 Cu 3.47, 2 K 3.69, 1 Sc 3.78
Sc  0.5628  0.5628  0.3749  3 Cu 2.61-2.65